A geometry-optimized AlCdIn structure. Source: Alexandria via LeMat-Bulk, functional PBE.

```
AlCdIn
1.0
3.0532 0.0000 0.0000
1.5215 4.8244 0.0000
0.0419 0.9954 9.2577
Al Cd In
2 2 2
direct
0.1367 0.2308 0.4334 Al
0.8633 0.7692 0.5666 Al
0.3960 0.7130 0.2855 Cd
0.6040 0.2870 0.7145 Cd
0.3561 0.7830 0.8967 In
0.6439 0.2170 0.1033 In
```

Results
- V (Å³/atom) = 22.7
- space group = No. 2
- energy relative to the elements (meV per atom) = 120

=====

A geometry-optimized TbYU2P4 structure. Source: Alexandria via LeMat-Bulk, functional PBE.

```
TbYU2P4
1.0
6.8474 0.0000 0.0000
0.0000 3.9546 0.0000
-2.2851 0.0000 6.5743
Tb Y U P
1 1 2 4
direct
0.0000 0.0000 0.0000 Tb
0.5000 0.5000 0.0000 Y
0.0000 0.5000 0.5000 U
0.5000 0.0000 0.5000 U
0.2483 0.0000 0.7438 P
0.2525 0.5000 0.2564 P
0.7475 0.5000 0.7436 P
0.7517 0.0000 0.2562 P
```

Results
- V (Å³/atom) = 22.3
- space group = No. 10
- energy relative to the elements (meV per atom) = -1297